This record from Alexandria via LeMat-Bulk describes a geometry-optimized NaCeMnF6 structure. The functional is PBE+U.

Magnetic moment   2.00 μB/f.u.
Electronic total energy   -5.782 eV/atom

Lattice parameters (Å, degrees): 5.844 5.844 9.459 90.00 90.00 120.00
Each line ends with the local moment (μB).
Fractional coordinates of all 18 atoms:
Na: 0.000 0.000 0.000  0.00
Na: 0.000 0.000 0.500  0.00
Ce: 0.667 0.333 0.250  0.96
Ce: 0.333 0.667 0.750  0.96
Mn: 0.333 0.667 0.250  0.96
Mn: 0.667 0.333 0.750  0.96
F: 0.637 0.667 0.133  0.00
F: 0.030 0.363 0.133  0.00
F: 0.363 0.030 0.633  0.00
F: 0.970 0.637 0.867  0.00
F: 0.333 0.363 0.367  0.00
F: 0.030 0.667 0.367  0.00
F: 0.667 0.030 0.867  0.00
F: 0.637 0.970 0.367  0.00
F: 0.970 0.333 0.633  0.00
F: 0.333 0.970 0.133  0.00
F: 0.667 0.637 0.633  0.00
F: 0.363 0.333 0.867  0.00